1.
# BeRu2Br

An optimized crystal structure of BeRu2Br (PBE, Alexandria).

Structure (extended XYZ):
```
4
Lattice="-3.189 1.229 -3.298 3.615 -3.071 -1.322 -1.205 -2.750 -0.063" Properties=species:S:1:pos:R:3 pbc="T T T"
Br 0.213 -0.921 -2.310
Be 1.205 -2.910 -0.692
Ru 0.000 0.000 0.000
Ru -2.197 -0.760 -1.680
```

**DFT total energy**: -20.80 eV/cell
**DOS(E_F)**: 1.351 states/eV/atom
**Total moment**: 0.0 μB/f.u.
**Symmetry**: C2/m (12)

2.
# Cs3Pr2ScS6

An optimized crystal structure of Cs3Pr2ScS6 (PBE, Alexandria).

Structure (extended XYZ):
```
12
Lattice="-1.385 7.071 0.032 -1.744 -3.985 -5.744 -6.219 -2.467 5.108" Properties=species:S:1:pos:R:3 pbc="T T T"
Cs -4.792 -3.349 -2.213
Cs -4.674 0.309 -0.302
Cs -4.555 3.967 1.609
S -7.483 2.121 0.603
S -7.595 -1.322 -1.196
S -3.486 1.860 -3.344
S -5.862 -1.241 2.740
S -1.753 1.941 0.592
S -1.865 -1.503 -1.207
Pr -1.505 3.384 -1.894
Pr -1.624 -0.298 -3.818
Sc 0.000 0.000 0.000
```

**DFT total energy**: -64.14 eV/cell
**DOS(E_F)**: 0.000 states/eV/atom
**Total moment**: 0.0 μB/f.u.
**Symmetry**: C2/m (12)